! Ga6CuPd3 | Alexandria via LeMat-Bulk | PBE | relaxed; values from VASP
&SYSTEM
  ibrav = 0, nat = 20, ntyp = 3
/
ATOMIC_SPECIES
Ga 69.72 Ga.upf
Cu 63.55 Cu.upf
Pd 106.42 Pd.upf
CELL_PARAMETERS angstrom
-3.4522 -0.6780 5.8508
-4.7960 -2.6880 -3.1413
3.1146 -7.1212 1.3383
ATOMIC_POSITIONS crystal
Ga 0.6576 0.1378 0.9382
Ga 0.6522 0.1527 0.5677
Ga 0.7130 0.4992 0.2499
Ga 0.2870 0.5008 0.7501
Ga 0.3478 0.8473 0.4323
Ga 0.3424 0.8622 0.0618
Ga 0.1576 0.3622 0.4382
Ga 0.1522 0.3473 0.0677
Ga 0.2130 0.0008 0.7499
Ga 0.7870 0.9992 0.2501
Ga 0.8478 0.6527 0.9323
Ga 0.8424 0.6378 0.5618
Cu 0.5000 0.5000 0.5000
Cu 0.0000 0.0000 0.0000
Pd 0.5449 0.8230 0.7456
Pd 0.5000 0.5000 0.0000
Pd 0.4551 0.1770 0.2544
Pd 0.0449 0.6770 0.2456
Pd 0.0000 0.0000 0.5000
Pd 0.9551 0.3230 0.7544
! Symmetry   P2_1/c
! D(E_F)   8.31 states/eV/cell
! Calculated formation energy   -0.3130 eV/atom
! Total moment   0.000 μB/f.u.



! Ga8CuPd2 | Alexandria via LeMat-Bulk | PBE | relaxed; values from VASP
&SYSTEM
  ibrav = 0, nat = 11, ntyp = 3
/
ATOMIC_SPECIES
Ga 69.72 Ga.upf
Cu 63.55 Cu.upf
Pd 106.42 Pd.upf
CELL_PARAMETERS angstrom
-3.3083 0.6192 -2.5440
-3.1504 -2.4095 3.5105
1.8850 8.3011 3.0675
ATOMIC_POSITIONS crystal
Ga 0.3943 0.5532 0.7886
Ga 0.6434 0.9839 0.2868
Ga 0.7847 0.7010 0.5694
Ga 0.9719 0.2405 0.9439
Ga 0.2153 0.2990 0.4306
Ga 0.3566 0.0161 0.7132
Ga 0.6057 0.4468 0.2114
Ga 0.0281 0.7595 0.0561
Cu 0.5000 0.0000 0.0000
Pd 0.8128 0.2465 0.6255
Pd 0.1872 0.7535 0.3745
! Symmetry   C2/m
! D(E_F)   3.58 states/eV/cell
! Calculated formation energy   -0.2219 eV/atom
! Total moment   0.000 μB/f.u.



! Ga2CuPd | Alexandria via LeMat-Bulk | PBE | relaxed; values from VASP
&SYSTEM
  ibrav = 0, nat = 8, ntyp = 3
/
ATOMIC_SPECIES
Cu 63.55 Cu.upf
Ga 69.72 Ga.upf
Pd 106.42 Pd.upf
CELL_PARAMETERS angstrom
6.9718 0.0000 0.0000
0.0000 6.9718 0.0000
3.4859 3.4859 2.6724
ATOMIC_POSITIONS crystal
Cu 0.5000 0.5000 0.0000
Cu 0.2500 0.7500 0.5000
Ga 0.6151 0.1250 0.2500
Ga 0.1349 0.6250 0.2500
Ga 0.3750 0.3849 0.7500
Ga 0.8750 0.8651 0.7500
Pd 0.0000 0.0000 0.0000
Pd 0.7500 0.2500 0.5000
! Symmetry   I-42d
! D(E_F)   3.12 states/eV/cell
! Calculated formation energy   -0.0577 eV/atom
! Total moment   0.000 μB/f.u.



! Ga4Cu2Pd | Alexandria via LeMat-Bulk | PBE | relaxed; values from VASP
&SYSTEM
  ibrav = 0, nat = 7, ntyp = 3
/
ATOMIC_SPECIES
Pd 106.42 Pd.upf
Cu 63.55 Cu.upf
Ga 69.72 Ga.upf
CELL_PARAMETERS angstrom
-2.1804 0.2580 -2.3357
0.8137 -4.1597 -1.2191
-6.1441 -0.5276 5.6773
ATOMIC_POSITIONS crystal
Pd 0.0000 0.5000 0.0000
Cu 0.5000 0.2121 0.4243
Cu 0.5000 0.7879 0.5757
Ga 0.5000 0.6336 0.2671
Ga 0.0000 0.9125 0.8249
Ga 0.5000 0.3664 0.7329
Ga 0.0000 0.0875 0.1751
! Symmetry   Cmmm
! D(E_F)   2.13 states/eV/cell
! Calculated formation energy   -0.1614 eV/atom
! Total moment   0.000 μB/f.u.



! Ga2Cu2Pd | Alexandria via LeMat-Bulk | PBE | relaxed; values from VASP
&SYSTEM
  ibrav = 0, nat = 10, ntyp = 3
/
ATOMIC_SPECIES
Cu 63.55 Cu.upf
Ga 69.72 Ga.upf
Pd 106.42 Pd.upf
CELL_PARAMETERS angstrom
-0.2991 6.5366 2.5987
-4.5359 -2.1673 4.9293
2.1786 -0.5936 1.7438
ATOMIC_POSITIONS crystal
Cu 0.3751 0.8751 0.0000
Cu 0.8751 0.6249 0.0000
Cu 0.6249 0.1249 0.0000
Cu 0.1249 0.3751 0.0000
Ga 0.1749 0.6749 0.5000
Ga 0.6749 0.8251 0.5000
Ga 0.8251 0.3251 0.5000
Ga 0.3251 0.1749 0.5000
Pd 0.0000 0.0000 0.0000
Pd 0.5000 0.5000 0.0000
! Symmetry   P4/mbm
! D(E_F)   2.71 states/eV/cell
! Calculated formation energy   -0.1644 eV/atom
! Total moment   0.000 μB/f.u.



! Ga2CuPd4 | Alexandria via LeMat-Bulk | PBE | relaxed; values from VASP
&SYSTEM
  ibrav = 0, nat = 7, ntyp = 3
/
ATOMIC_SPECIES
Cu 63.55 Cu.upf
Ga 69.72 Ga.upf
Pd 106.42 Pd.upf
CELL_PARAMETERS angstrom
4.5920 0.0000 0.0000
0.0000 4.5920 0.0000
2.2960 2.2960 6.2487
ATOMIC_POSITIONS crystal
Cu 0.0000 0.0000 0.0000
Ga 0.3882 0.3882 0.2236
Ga 0.6118 0.6118 0.7764
Pd 0.1976 0.1976 0.6047
Pd 0.8024 0.8024 0.3953
Pd 0.0000 0.5000 0.0000
Pd 0.5000 0.0000 0.0000
! Symmetry   I4/mmm
! D(E_F)   2.29 states/eV/cell
! Calculated formation energy   0.1609 eV/atom
! Total moment   0.000 μB/f.u.



! Ga2CuPd | Alexandria via LeMat-Bulk | PBE | relaxed; values from VASP
&SYSTEM
  ibrav = 0, nat = 4, ntyp = 3
/
ATOMIC_SPECIES
Cu 63.55 Cu.upf
Ga 69.72 Ga.upf
Pd 106.42 Pd.upf
CELL_PARAMETERS angstrom
3.1874 0.0000 0.0000
0.0000 3.1874 0.0000
0.0000 0.0000 5.7428
ATOMIC_POSITIONS crystal
Cu 0.5000 0.5000 0.0000
Ga 0.0000 0.0000 0.7572
Ga 0.0000 0.0000 0.2428
Pd 0.5000 0.5000 0.5000
! Symmetry   P4/mmm
! D(E_F)   1.66 states/eV/cell
! Calculated formation energy   -0.2978 eV/atom
! Total moment   0.000 μB/f.u.



! GaCu2Pd4 | Alexandria via LeMat-Bulk | PBE | relaxed; values from VASP
&SYSTEM
  ibrav = 0, nat = 14, ntyp = 3
/
ATOMIC_SPECIES
Ga 69.72 Ga.upf
Cu 63.55 Cu.upf
Pd 106.42 Pd.upf
CELL_PARAMETERS angstrom
5.3428 -0.5477 -0.6785
-0.8453 6.3012 0.0930
-2.8662 -2.9752 6.4439
ATOMIC_POSITIONS crystal
Ga 0.2231 0.7127 0.5352
Ga 0.0514 0.8468 0.9724
Cu 0.4985 0.4067 0.6877
Cu 0.8888 0.9793 0.3876
Cu 0.6081 0.2625 0.2416
Cu 0.9861 0.3956 0.6604
Pd 0.1195 0.2793 0.2740
Pd 0.3250 0.5500 0.1020
Pd 0.7243 0.6824 0.5471
Pd 0.7807 0.1299 0.8241
Pd 0.4088 0.9937 0.3904
Pd 0.2673 0.1209 0.8098
Pd 0.5316 0.8272 0.9491
Pd 0.8368 0.5631 0.1186
! Symmetry   P1
! D(E_F)   5.82 states/eV/cell
! Calculated formation energy   -0.2928 eV/atom
! Total moment   0.000 μB/f.u.



! GaCu5Pd8 | Alexandria via LeMat-Bulk | PBE | relaxed; values from VASP
&SYSTEM
  ibrav = 0, nat = 14, ntyp = 3
/
ATOMIC_SPECIES
Ga 69.72 Ga.upf
Cu 63.55 Cu.upf
Pd 106.42 Pd.upf
CELL_PARAMETERS angstrom
6.4743 -0.0502 0.0863
-2.2379 6.0754 -0.0863
-1.9985 -3.0968 5.3238
ATOMIC_POSITIONS crystal
Ga 0.2500 0.5000 0.7500
Cu 0.0305 0.3193 0.1223
Cu 0.8777 0.9082 0.1970
Cu 0.8030 0.6807 0.7112
Cu 0.5000 0.0000 0.5000
Cu 0.2888 0.0918 0.9695
Pd 0.1514 0.7207 0.0613
Pd 0.9387 0.0901 0.6594
Pd 0.7409 0.2631 0.3423
Pd 0.6577 0.3986 0.9209
Pd 0.5222 0.6014 0.2591
Pd 0.5693 0.9099 0.8486
Pd 0.3406 0.2793 0.4307
Pd 0.0791 0.7369 0.4778
! Symmetry   I-4
! D(E_F)   4.25 states/eV/cell
! Calculated formation energy   -0.0754 eV/atom
! Total moment   0.000 μB/f.u.



! GaCu4Pd | Alexandria via LeMat-Bulk | PBE | relaxed; values from VASP
&SYSTEM
  ibrav = 0, nat = 6, ntyp = 3
/
ATOMIC_SPECIES
Cu 63.55 Cu.upf
Ga 69.72 Ga.upf
Pd 106.42 Pd.upf
CELL_PARAMETERS angstrom
4.8397 0.0000 0.0000
2.4199 4.1913 0.0000
2.4199 1.3971 3.9516
ATOMIC_POSITIONS crystal
Cu 0.6250 0.6250 0.1250
Cu 0.6250 0.1250 0.6250
Cu 0.6250 0.6250 0.6250
Cu 0.1250 0.6250 0.6250
Ga 0.2500 0.2500 0.2500
Pd 0.0000 0.0000 0.0000
! Symmetry   F-43m
! D(E_F)   3.71 states/eV/cell
! Calculated formation energy   -0.0273 eV/atom
! Total moment   0.000 μB/f.u.



! GaCu5Pd5 | Alexandria via LeMat-Bulk | PBE | relaxed; values from VASP
&SYSTEM
  ibrav = 0, nat = 11, ntyp = 3
/
ATOMIC_SPECIES
Ga 69.72 Ga.upf
Cu 63.55 Cu.upf
Pd 106.42 Pd.upf
CELL_PARAMETERS angstrom
-3.3555 -2.7045 -2.4468
-3.1050 -0.9193 5.8393
-3.0064 3.7081 -0.4951
ATOMIC_POSITIONS crystal
Ga 0.0000 0.0000 0.0000
Cu 0.3005 0.2812 0.2548
Cu 0.4117 0.3775 0.7202
Cu 0.0000 0.5000 0.5000
Cu 0.5883 0.6225 0.2798
Cu 0.6995 0.7188 0.7452
Pd 0.1711 0.6534 0.0009
Pd 0.2325 0.8797 0.5014
Pd 0.5000 0.0000 0.0000
Pd 0.7675 0.1203 0.4986
Pd 0.8289 0.3466 0.9991
! Symmetry   P-1
! D(E_F)   4.30 states/eV/cell
! Calculated formation energy   -0.1296 eV/atom
! Total moment   0.000 μB/f.u.



! Ga3Cu5Pd | Alexandria via LeMat-Bulk | PBE | relaxed; values from VASP
&SYSTEM
  ibrav = 0, nat = 18, ntyp = 3
/
ATOMIC_SPECIES
Ga 69.72 Ga.upf
Cu 63.55 Cu.upf
Pd 106.42 Pd.upf
CELL_PARAMETERS angstrom
-5.0108 1.7731 0.3238
-1.8156 -0.5277 -4.9781
-3.0660 -9.1954 2.1427
ATOMIC_POSITIONS crystal
Ga 0.7206 0.7206 0.8684
Ga 0.6627 0.6627 0.5062
Ga 0.0000 0.0000 0.0000
Ga 0.0000 0.0000 0.5000
Ga 0.2794 0.2794 0.1316
Ga 0.3373 0.3373 0.4938
Cu 0.9977 0.5306 0.3256
Cu 0.3323 0.6677 0.0000
Cu 0.7387 0.7387 0.1216
Cu 0.5140 0.5140 0.2822
Cu 0.4860 0.4860 0.7178
Cu 0.2613 0.2613 0.8784
Cu 0.5306 0.9977 0.3256
Cu 0.6677 0.3323 0.0000
Cu 0.0023 0.4694 0.6744
Cu 0.4694 0.0023 0.6744
Pd 0.9834 0.9834 0.7476
Pd 0.0166 0.0166 0.2524
! Symmetry   C2/m
! D(E_F)   4.63 states/eV/cell
! Calculated formation energy   0.0571 eV/atom
! Total moment   0.000 μB/f.u.



! Ga2Cu3Pd | Alexandria via LeMat-Bulk | PBE | relaxed; values from VASP
&SYSTEM
  ibrav = 0, nat = 12, ntyp = 3
/
ATOMIC_SPECIES
Ga 69.72 Ga.upf
Cu 63.55 Cu.upf
Pd 106.42 Pd.upf
CELL_PARAMETERS angstrom
4.9435 0.0419 0.6116
-0.5515 4.9128 0.6116
0.0267 0.0301 6.8545
ATOMIC_POSITIONS crystal
Ga 0.1214 0.6044 0.1337
Ga 0.3956 0.8786 0.3663
Ga 0.8786 0.3956 0.8663
Ga 0.6044 0.1214 0.6337
Cu 0.8021 0.6283 0.5116
Cu 0.3717 0.1979 0.9884
Cu 0.1979 0.3717 0.4884
Cu 0.6283 0.8021 0.0116
Cu 0.6028 0.3972 0.2500
Cu 0.3972 0.6028 0.7500
Pd 0.9501 0.0499 0.2500
Pd 0.0499 0.9501 0.7500
! Symmetry   C2/c
! D(E_F)   2.57 states/eV/cell
! Calculated formation energy   -0.1098 eV/atom
! Total moment   0.000 μB/f.u.



! GaCuPd2 | Alexandria via LeMat-Bulk | PBE | relaxed; values from VASP
&SYSTEM
  ibrav = 0, nat = 4, ntyp = 3
/
ATOMIC_SPECIES
Ga 69.72 Ga.upf
Cu 63.55 Cu.upf
Pd 106.42 Pd.upf
CELL_PARAMETERS angstrom
4.7398 -1.5953 -2.7818
-1.4220 4.7946 2.7818
-3.3483 0.1523 4.6384
ATOMIC_POSITIONS crystal
Ga 0.0000 0.5000 0.5000
Cu 0.0000 0.0000 0.0000
Pd 0.0000 0.2566 0.2566
Pd 0.0000 0.7434 0.7434
! Symmetry   Immm
! D(E_F)   2.60 states/eV/cell
! Calculated formation energy   0.0119 eV/atom
! Total moment   0.000 μB/f.u.



! Pm2Ga3CuPd4 | Alexandria via LeMat-Bulk | PBE | relaxed; values from VASP
&SYSTEM
  ibrav = 0, nat = 10, ntyp = 4
/
ATOMIC_SPECIES
Pm 145.00 Pm.upf
Ga 69.72 Ga.upf
Cu 63.55 Cu.upf
Pd 106.42 Pd.upf
CELL_PARAMETERS angstrom
4.2987 0.0000 0.0000
0.0000 4.2987 0.0000
0.0000 0.0000 10.3367
ATOMIC_POSITIONS crystal
Pm 0.5000 0.0000 0.2531
Pm 0.0000 0.5000 0.7469
Ga 0.0000 0.0000 0.5000
Ga 0.5000 0.0000 0.8713
Ga 0.0000 0.5000 0.1287
Cu 0.5000 0.5000 0.5000
Pd 0.5000 0.5000 0.0000
Pd 0.0000 0.0000 0.0000
Pd 0.5000 0.0000 0.6324
Pd 0.0000 0.5000 0.3676
! Symmetry   P-4m2
! D(E_F)   5.85 states/eV/cell
! Calculated formation energy   -0.7189 eV/atom
! Total moment   0.000 μB/f.u.



! PmGa2CuPd4 | Alexandria via LeMat-Bulk | PBE | relaxed; values from VASP
&SYSTEM
  ibrav = 0, nat = 8, ntyp = 4
/
ATOMIC_SPECIES
Pm 145.00 Pm.upf
Ga 69.72 Ga.upf
Cu 63.55 Cu.upf
Pd 106.42 Pd.upf
CELL_PARAMETERS angstrom
4.3154 0.0000 0.0000
2.1577 3.7372 0.0000
2.1577 1.2457 8.5753
ATOMIC_POSITIONS crystal
Pm 0.0000 0.0000 0.0000
Ga 0.7634 0.7634 0.7098
Ga 0.2366 0.2366 0.2902
Cu 0.5000 0.5000 0.5000
Pd 0.4017 0.4017 0.7948
Pd 0.8696 0.8696 0.3911
Pd 0.1304 0.1304 0.6089
Pd 0.5983 0.5983 0.2052
! Symmetry   R-3m
! D(E_F)   4.44 states/eV/cell
! Calculated formation energy   -0.6127 eV/atom
! Total moment   0.000 μB/f.u.



! PmGaCu2Pd4 | Alexandria via LeMat-Bulk | PBE | relaxed; values from VASP
&SYSTEM
  ibrav = 0, nat = 8, ntyp = 4
/
ATOMIC_SPECIES
Pm 145.00 Pm.upf
Ga 69.72 Ga.upf
Cu 63.55 Cu.upf
Pd 106.42 Pd.upf
CELL_PARAMETERS angstrom
-3.4671 2.1876 1.6107
-0.4022 0.5974 4.3454
2.7075 7.6738 1.4280
ATOMIC_POSITIONS crystal
Pm 0.0000 0.0000 0.0000
Ga 0.5000 0.5000 0.5000
Cu 0.7524 0.7524 0.7429
Cu 0.2476 0.2476 0.2571
Pd 0.3961 0.3961 0.8118
Pd 0.8695 0.8695 0.3915
Pd 0.1305 0.1305 0.6085
Pd 0.6039 0.6039 0.1882
! Symmetry   R-3m
! D(E_F)   3.41 states/eV/cell
! Calculated formation energy   -0.4908 eV/atom
! Total moment   0.000 μB/f.u.



! Pm2Ga3Cu4Pd | Alexandria via LeMat-Bulk | PBE | relaxed; values from VASP
&SYSTEM
  ibrav = 0, nat = 10, ntyp = 4
/
ATOMIC_SPECIES
Pm 145.00 Pm.upf
Ga 69.72 Ga.upf
Cu 63.55 Cu.upf
Pd 106.42 Pd.upf
CELL_PARAMETERS angstrom
4.1497 0.0000 0.0000
0.0000 4.1497 0.0000
0.0000 0.0000 10.4173
ATOMIC_POSITIONS crystal
Pm 0.5000 0.0000 0.2469
Pm 0.0000 0.5000 0.7531
Ga 0.0000 0.0000 0.5000
Ga 0.5000 0.0000 0.8738
Ga 0.0000 0.5000 0.1262
Cu 0.5000 0.5000 0.0000
Cu 0.0000 0.0000 0.0000
Cu 0.5000 0.0000 0.6418
Cu 0.0000 0.5000 0.3582
Pd 0.5000 0.5000 0.5000
! Symmetry   P-4m2
! D(E_F)   6.03 states/eV/cell
! Calculated formation energy   -0.4254 eV/atom
! Total moment   0.000 μB/f.u.



! Pm2GaCuPd6 | Alexandria via LeMat-Bulk | PBE | relaxed; values from VASP
&SYSTEM
  ibrav = 0, nat = 20, ntyp = 4
/
ATOMIC_SPECIES
Pm 145.00 Pm.upf
Ga 69.72 Ga.upf
Cu 63.55 Cu.upf
Pd 106.42 Pd.upf
CELL_PARAMETERS angstrom
5.5218 0.0000 0.0000
0.0000 8.3187 0.0000
0.0000 0.0000 8.7069
ATOMIC_POSITIONS crystal
Pm 0.5000 0.7295 0.2416
Pm 0.0000 0.2705 0.7416
Pm 0.5000 0.7295 0.7584
Pm 0.0000 0.2705 0.2584
Ga 0.0000 0.7467 0.5000
Ga 0.5000 0.2533 0.0000
Cu 0.5000 0.2600 0.5000
Cu 0.0000 0.7400 0.0000
Pd 0.5000 0.1012 0.2510
Pd 0.5000 0.1012 0.7490
Pd 0.0000 0.8988 0.2490
Pd 0.0000 0.8988 0.7510
Pd 0.2513 0.0011 0.5000
Pd 0.7487 0.0011 0.5000
Pd 0.2537 0.5074 0.5000
Pd 0.7463 0.5074 0.5000
Pd 0.7537 0.4926 0.0000
Pd 0.2463 0.4926 0.0000
Pd 0.2487 0.9989 0.0000
Pd 0.7513 0.9989 0.0000
! Symmetry   Pmmn
! D(E_F)   9.29 states/eV/cell
! Calculated formation energy   -0.5796 eV/atom
! Total moment   0.000 μB/f.u.



! Pm2Ga4CuPd3 | Alexandria via LeMat-Bulk | PBE | relaxed; values from VASP
&SYSTEM
  ibrav = 0, nat = 10, ntyp = 4
/
ATOMIC_SPECIES
Pm 145.00 Pm.upf
Ga 69.72 Ga.upf
Cu 63.55 Cu.upf
Pd 106.42 Pd.upf
CELL_PARAMETERS angstrom
-1.1451 -3.0916 2.9072
-1.2474 -2.6330 -3.2913
9.1397 -3.7908 -0.4314
ATOMIC_POSITIONS crystal
Pm 0.5000 0.0000 0.2521
Pm 0.0000 0.5000 0.7479
Ga 0.5000 0.5000 0.0000
Ga 0.0000 0.0000 0.0000
Ga 0.5000 0.0000 0.6211
Ga 0.0000 0.5000 0.3789
Cu 0.5000 0.5000 0.5000
Pd 0.0000 0.0000 0.5000
Pd 0.5000 0.0000 0.8698
Pd 0.0000 0.5000 0.1302
! Symmetry   P-4m2
! D(E_F)   6.60 states/eV/cell
! Calculated formation energy   -0.7083 eV/atom
! Total moment   0.000 μB/f.u.



! Pr2Ga4CuPd3 | Alexandria via LeMat-Bulk | PBE | relaxed; values from VASP
&SYSTEM
  ibrav = 0, nat = 10, ntyp = 4
/
ATOMIC_SPECIES
Pr 140.91 Pr.upf
Ga 69.72 Ga.upf
Cu 63.55 Cu.upf
Pd 106.42 Pd.upf
CELL_PARAMETERS angstrom
4.4261 0.0000 0.0000
0.0000 4.4261 0.0000
0.0000 0.0000 9.9389
ATOMIC_POSITIONS crystal
Pr 0.5000 0.0000 0.2520
Pr 0.0000 0.5000 0.7480
Ga 0.5000 0.5000 0.0000
Ga 0.0000 0.0000 0.0000
Ga 0.5000 0.0000 0.6206
Ga 0.0000 0.5000 0.3794
Cu 0.5000 0.5000 0.5000
Pd 0.0000 0.0000 0.5000
Pd 0.5000 0.0000 0.8705
Pd 0.0000 0.5000 0.1295
! Symmetry   P-4m2
! D(E_F)   6.73 states/eV/cell
! Calculated formation energy   -0.7090 eV/atom
! Total moment   0.000 μB/f.u.